[1]
Here is a relaxed Mn2AgTeH crystal from the Alexandria database. Energies are from PBE.

Unit cell a=4.1217 b=4.1217 c=4.3311 alpha=90.00 beta=90.00 gamma=90.00
Fractional coordinates of all 5 atoms:
1 Mn 0.0000 0.5000 0.0000
2 Mn 0.5000 0.0000 0.0000
3 Ag 0.0000 0.0000 0.5000
4 Te 0.5000 0.5000 0.5000
5 H 0.0000 0.0000 0.0000

Values from the calculation:
Its space group is P4/mmm.


[2]
Here is a relaxed HoNpGaO6 crystal from the Alexandria database. Energies are from PBE.

Unit cell a=5.5449 b=5.5449 c=8.7384 alpha=90.00 beta=90.00 gamma=120.00
Fractional coordinates of all 18 atoms:
1 Ho 0.3333 0.6667 0.2500
2 Ho 0.6667 0.3333 0.7500
3 Np 0.3333 0.6667 0.7500
4 Np 0.6667 0.3333 0.2500
5 Ga 0.0000 0.0000 0.0000
6 Ga 0.0000 0.0000 0.5000
7 O 0.0259 0.3352 0.6250
8 O 0.0259 0.6908 0.8750
9 O 0.3092 0.3352 0.8750
10 O 0.3092 0.9741 0.6250
11 O 0.3352 0.0259 0.1250
12 O 0.3352 0.3092 0.3750
13 O 0.6648 0.6908 0.6250
14 O 0.6648 0.9741 0.8750
15 O 0.6908 0.0259 0.3750
16 O 0.6908 0.6648 0.1250
17 O 0.9741 0.3092 0.1250
18 O 0.9741 0.6648 0.3750

Values from the calculation:
The energy relative to the elements, uncorrected comes out at -22.8 eV per formula unit. Its space group is P-31c.


[3]
Here is a relaxed CrOs2Se crystal from the Alexandria database. Energies are from PBE.

Unit cell a=4.3736 b=4.3736 c=3.0360 alpha=90.00 beta=90.00 gamma=90.00
Fractional coordinates of all 4 atoms:
1 Cr 0.0000 0.0000 0.0000
2 Os 0.0000 0.5000 0.5000
3 Os 0.5000 0.0000 0.5000
4 Se 0.5000 0.5000 0.0000

Values from the calculation:
The energy relative to the elements, uncorrected comes out at 2.4 eV per formula unit. Its space group is P4/mmm.


[4]
Here is a relaxed Tc2TeI2 crystal from the Alexandria database. Energies are from PBE.

Unit cell a=8.0691 b=8.0691 c=3.3442 alpha=90.00 beta=90.00 gamma=90.00
Fractional coordinates of all 10 atoms:
1 Tc 0.1278 0.3722 0.0000
2 Tc 0.3722 0.8722 0.0000
3 Tc 0.6278 0.1278 0.0000
4 Tc 0.8722 0.6278 0.0000
5 Te 0.0000 0.0000 0.0000
6 Te 0.5000 0.5000 0.0000
7 I 0.1491 0.6491 0.5000
8 I 0.3509 0.1491 0.5000
9 I 0.6491 0.8509 0.5000
10 I 0.8509 0.3509 0.5000

Values from the calculation:
As for the energy above the most stable polymorph in this dataset: 95 meV per atom. The energy relative to the elements, uncorrected comes out at 4.6 eV per formula unit. Its space group is P4/mbm.


[5]
Here is a relaxed CsNa4Li crystal from the Alexandria database. Energies are from PBE.

Unit cell a=7.2151 b=7.2151 c=7.2151 alpha=60.00 beta=60.00 gamma=60.00
Fractional coordinates of all 6 atoms:
1 Cs 0.0000 0.0000 0.0000
2 Na 0.3765 0.3765 0.3765
3 Na 0.3765 0.3765 0.8705
4 Na 0.3765 0.8705 0.3765
5 Na 0.8705 0.3765 0.3765
6 Li 0.7500 0.7500 0.7500

Values from the calculation:
As for the energy above the most stable polymorph in this dataset: 26 meV per atom. For the formation energy, the calculation gives 7.8 kJ/mol of atoms. Its space group is F-43m.


[6]
Here is a relaxed MgZrCd4 crystal from the Alexandria database. Energies are from PBE.

Unit cell a=4.8464 b=4.8464 c=6.4460 alpha=90.40 beta=90.40 gamma=60.06
Fractional coordinates of all 6 atoms:
1 Mg 0.0000 0.0000 0.0000
2 Zr 0.0000 0.0000 0.5000
3 Cd 0.3317 0.3317 0.2615
4 Cd 0.3349 0.3349 0.7386
5 Cd 0.6651 0.6651 0.2614
6 Cd 0.6683 0.6683 0.7385

Values from the calculation:
As for the energy above the most stable polymorph in this dataset: 0 meV per atom. For the formation energy, the calculation gives -9.0 kJ/mol of atoms. Its space group is C2/m.


These records have VASP energy values of -5.27; -8.12; -8.30; -4.48; -1.26; -2.39 eV/atom, in the order they appear.
These records have total magnetic moment values of 1.46; 0.11; 0.59; 0.00; 0.00; 0.00 μB per atom, in the order they appear.
These records have DOS at the Fermi energy values of 0.50; 0.06; 0.78; 1.52; 0.18; 0.43 states/eV per atom, in the order they appear.